DFT (PBE) results for a geometry-optimized Na3ReNi structure.

Summary:
Final energy = -2.46 eV/atom
Space-group type = Pm-3m (221)
Energy of formation = 1.98 eV/atom
Excess energy over the best structure of this formula in the dataset = 0.346 eV/atom

Geometry as POSCAR:
```
Na3ReNi
1.0
5.5023 0.0000 0.0000
0.0000 5.5023 0.0000
0.0000 0.0000 5.5023
Re Na Ni
1 3 1
Cartesian
0.0000 0.0000 0.0000 Re
0.0000 2.7512 0.0000 Na
0.0000 0.0000 2.7512 Na
2.7512 0.0000 0.0000 Na
2.7512 2.7512 2.7512 Ni
```